First-principles (GGA-PBE) data for AsHAu2 after structural relaxation, as listed in the Alexandria database.

Values from the calculation:
N(E_F) = 0.378 states/eV/atom
excess energy over the best structure of this formula in the dataset = 357 meV/atom
size of the total moment = 0.57 Bohr magnetons per cell
ρ = 12.39 g cm⁻³
DFT total energy = -3.01 eV per atom

Structure (CIF):
```
data_AsHAu2
_chemical_formula_sum 'As1 H1 Au2'
_cell_length_a 4.466
_cell_length_b 4.466
_cell_length_c 4.466
_cell_angle_alpha 60.00
_cell_angle_beta 60.00
_cell_angle_gamma 60.00
_symmetry_space_group_name_H-M 'P 1'
_symmetry_Int_Tables_number 1
loop_
_symmetry_equiv_pos_as_xyz
'x,y,z'
loop_
_atom_site_label
_atom_site_fract_x
_atom_site_fract_y
_atom_site_fract_z
As1 0.500 0.500 0.500
Au1 0.750 0.750 0.750
Au2 0.250 0.250 0.250
H1 0.000 0.000 0.000
```